Crystalline Mg2TcSe at its relaxed geometry. Source: the Alexandria database, functional PBE.

The formation energy (no corrections) comes out at -0.11 eV per atom. As for the total energy: -4.373 eV/atom.

The space group is P4mm (No. 99) and the conventional cell measures 3.168, 3.168 and 7.597 Å, with angles of 90.00, 90.00 and 90.00 degrees. The asymmetric unit holds Mg at (0.000, 0.000, 0.000), Mg at (0.500, 0.500, 0.311), Tc at (0.500, 0.500, 0.751) and Se at (0.000, 0.000, 0.597).


Crystalline B3PBr at its relaxed geometry. Source: the Alexandria database, functional PBE.

The formation energy (no corrections) comes out at 1.56 eV per atom. As for the polymorph energy (0 for the lowest one): 0 meV/atom. As for the total energy: -3.858 eV/atom.

The space group is Pm-3m (No. 221) and the conventional cell measures 4.034, 4.034 and 4.034 Å, with angles of 90.00, 90.00 and 90.00 degrees. The asymmetric unit holds B at (0.000, 0.000, 0.500), P at (0.000, 0.000, 0.000) and Br at (0.500, 0.500, 0.500).